Computed, not measured: MnCrNiF6 after structural relaxation at the GGA+U level of DFT.

Calculated values
- Total magnetic moment: 11.0 μB per formula unit
- Fermi-level density of states: 12.45 states/eV per cell
- Density: 4.07 Mg/m³
- VASP energy: -5.5653 eV/atom

a = 5.3302 Å, b = 5.3302 Å, c = 9.2695 Å
α = 90.00°, β = 90.00°, γ = 120.00°
Space group P-31c (No. 163)
Inequivalent atoms, fractional coordinates:
Mn 0.0000 0.0000 0.0000
Cr 0.3333 0.6667 0.2500
Ni 0.3333 0.6667 0.7500
F 0.0136 0.3443 0.6311